(1)
Density functional theory data (PBE-GGA) for a geometry-optimized Os2Rh structure.

Geometry as extended XYZ:
```
9
Lattice="1.864 7.060 -1.212 -4.868 -1.682 5.315 2.029 -0.229 1.786" Properties=species:S:1:pos:R:3 pbc="T T T"
Os 2.213 4.425 0.114
Os -2.088 3.737 2.852
Os -2.116 -1.196 4.310
Os -0.058 1.805 2.358
Os -1.485 -0.513 1.621
Os 0.569 2.153 -0.370
Rh 1.014 -0.115 0.893
Rh -0.380 4.146 0.964
Rh -2.624 1.232 3.140
```

Calculated values
The calculation puts the final energy at -9.77 eV/atom. As for the space-group type: P-62m, No. 189. The density of states at the Fermi level is 0.610 states/eV per atom. Its polymorph energy (0 for the lowest one) is 0.158 eV/atom.

(2)
Density functional theory data (PBE-GGA) for a geometry-optimized Os2Rh structure.

Geometry as extended XYZ:
```
3
Lattice="-2.199 -2.518 2.922 -2.797 -1.275 -3.204 1.579 -2.038 -0.568" Properties=species:S:1:pos:R:3 pbc="T T T"
Rh 0.000 0.000 0.000
Os -0.609 -1.657 -1.886
Os -0.310 -2.278 1.177
```

Calculated values
The calculation puts the final energy at -8.66 eV/atom. As for the space-group type: P4/mmm, No. 123. The density of states at the Fermi level is 1.704 states/eV per atom. Its polymorph energy (0 for the lowest one) is 1.270 eV/atom.

(3)
Density functional theory data (PBE-GGA) for a geometry-optimized Os2Rh structure.

Geometry as extended XYZ:
```
12
Lattice="3.850 0.000 0.000 0.000 8.225 0.000 0.000 0.000 5.429" Properties=species:S:1:pos:R:3 pbc="T T T"
Os 0.962 4.785 0.629
Os 2.887 6.085 4.765
Os 2.887 6.252 2.050
Os 0.962 7.552 3.343
Os 2.887 0.673 2.086
Os 0.962 2.140 0.664
Os 2.887 3.440 4.800
Os 0.962 1.973 3.379
Rh 0.962 4.841 3.386
Rh 2.887 3.383 2.043
Rh 2.887 0.729 4.757
Rh 0.962 7.496 0.672
```

Calculated values
The calculation puts the final energy at -9.85 eV/atom. As for the space-group type: Pnma, No. 62. The density of states at the Fermi level is 0.769 states/eV per atom. Its polymorph energy (0 for the lowest one) is 0.076 eV/atom.